1.
Computed, not measured: a relaxed structure of Ba2ReBr at the PBEsol level of DFT.

Cell: 5.4599 5.4599 5.4599 Å, 60.00 60.00 60.00°
With the nearest neighbours (Å) after each atom.
Positions (direct):
Ba1 0.0000 0.0000 0.0000  4 Ba 3.34, 4 Re 3.34
Ba2 0.7500 0.7500 0.7500  4 Br 3.34, 4 Ba 3.34
Re1 0.2500 0.2500 0.2500  4 Br 3.34, 4 Ba 3.34
Br1 0.5000 0.5000 0.5000  4 Ba 3.34, 4 Re 3.34

Computed properties:
SG = F-43m, No. 216
Total magnetization = 2.079 μB per formula unit
DOS(E_F) = 5.03 states/eV/f.u.
Crystal system = cubic
Final energy = -16.440 eV/cell



2.
Computed, not measured: a relaxed structure of Cs2BaAu2 at the PBEsol level of DFT.

Cell: 4.9320 4.9320 8.5528 Å, 106.76 106.76 90.00°
With the nearest neighbours (Å) after each atom.
Positions (direct):
Au1 0.5862 0.5862 0.1725  1 Au 2.69
Au2 0.4138 0.4138 0.8275  1 Au 2.69
Cs1 0.2500 0.7500 0.5000  4 Cs 3.49, 4 Au 3.55
Cs2 0.7500 0.2500 0.5000  4 Cs 3.49, 4 Au 3.55
Ba1 0.0000 0.0000 0.0000  8 Au 3.74

Computed properties:
Energy of formation = -0.16 eV per atom
SG = I4/mmm, No. 139
Total magnetization = 0.000 μB per formula unit
DOS(E_F) = 1.59 states/eV/f.u.
Crystal system = tetragonal